Entry 1:
{"formula": "KLiP2", "functional": "PBE-GGA", "state": "optimized geometry", "crystal_system": "tetragonal", "formation_enthalpy_0k_ev_per_atom": 0.19, "lattice_angstrom": [[5.7284, 0.0000, 0.0000], [0.0000, 5.7284, 0.0000], [0.0000, 0.0000, 2.5287]], "species": ["K", "Li", "P", "P"], "frac_coords": [[0.0000, 0.0000, 0.0000], [0.5000, 0.5000, 0.0000], [0.0000, 0.5000, 0.5000], [0.5000, 0.0000, 0.5000]]}

Entry 2:
{"formula": "KLi4P", "functional": "PBE-GGA", "state": "optimized geometry", "crystal_system": "cubic", "formation_enthalpy_0k_ev_per_atom": 0.02, "lattice_angstrom": [[0.0000, 3.9197, 3.9197], [3.9197, 0.0000, 3.9197], [3.9197, 3.9197, 0.0000]], "species": ["K", "Li", "Li", "Li", "Li", "P"], "frac_coords": [[0.0000, 0.0000, 0.0000], [0.1273, 0.6242, 0.6242], [0.6242, 0.1273, 0.6242], [0.6242, 0.6242, 0.1273], [0.6242, 0.6242, 0.6242], [0.2500, 0.2500, 0.2500]]}